(1)
PBE Hf2Be2InRh5, relaxed; symmetry = P4/mbm; total moment = 0.000 μB per atom; VASP energy = -7.49 eV per atom
1.0
9.4315 0.0000 0.0000
0.0000 9.4315 0.0000
0.0000 0.0000 3.2874
Hf Be In Rh
4 4 2 10
Direct
0.1757 0.3243 0.0000
0.3243 0.8243 0.0000
0.6757 0.1757 0.0000
0.8243 0.6757 0.0000
0.1206 0.6206 0.0000
0.3794 0.1206 0.0000
0.6206 0.8794 0.0000
0.8794 0.3794 0.0000
0.0000 0.0000 0.0000
0.5000 0.5000 0.0000
0.0000 0.5000 0.5000
0.0724 0.7829 0.5000
0.2171 0.0724 0.5000
0.2829 0.5724 0.5000
0.4276 0.2829 0.5000
0.5000 0.0000 0.5000
0.5724 0.7171 0.5000
0.7171 0.4276 0.5000
0.7829 0.9276 0.5000
0.9276 0.2171 0.5000



(2)
PBE Dy3MgH, relaxed; symmetry = Pm-3m; total moment = 0.151 μB per atom; VASP energy = -3.89 eV per atom
1.0
4.8909 0.0000 0.0000
0.0000 4.8909 0.0000
0.0000 0.0000 4.8909
Dy Mg H
3 1 1
Direct
0.0000 0.0000 0.5000
0.0000 0.5000 0.0000
0.5000 0.0000 0.0000
0.5000 0.5000 0.5000
0.0000 0.0000 0.0000



(3)
PBE Sc3NiSe, relaxed; symmetry = C2/m; offset from the most stable computed form = 0 meV per atom; total moment = 0.000 μB per atom; formation energy without anion corrections = -0.79 eV/atom; VASP energy = -6.45 eV per atom
1.0
9.7486 -1.8216 0.0000
9.7486 1.8216 0.0000
-0.8600 0.0000 5.5228
Sc Ni Se
6 2 2
Direct
0.0011 0.0011 0.2540
0.1960 0.1960 0.1197
0.3637 0.3637 0.4219
0.6363 0.6363 0.5781
0.8040 0.8040 0.8803
0.9989 0.9989 0.7460
0.2297 0.2297 0.6364
0.7703 0.7703 0.3636
0.4132 0.4132 0.9532
0.5868 0.5868 0.0468